{
  "formula": "Li3Sn2",
  "functional": "PBE-GGA",
  "state": "relaxed",
  "formation_energy_ev_per_atom": -0.21,
  "energy_ev_per_cell": -29.6,
  "volume_a3_per_atom": 24.105,
  "sg": "Cmc2_1",
  "cell": [[4.8181, -4.2845, 0.0000], [4.8181, 4.2845, 0.0000], [0.0000, 0.0000, 5.8385]],
  "species": ["Li", "Li", "Li", "Li", "Li", "Li", "Sn", "Sn", "Sn", "Sn"],
  "fractional_positions": [[0.2344, 0.2656, 0.2521], [0.2500, 0.7500, 0.5000], [0.2656, 0.2344, 0.7521], [0.7344, 0.7656, 0.2521], [0.7500, 0.2500, 0.0000], [0.7656, 0.7344, 0.7521], [0.0797, 0.9203, 0.0115], [0.4203, 0.5797, 0.9922], [0.5797, 0.4203, 0.4922], [0.9203, 0.0797, 0.5115]]
}

=====

{
  "formula": "LiSn3",
  "functional": "PBE-GGA",
  "state": "relaxed",
  "formation_energy_ev_per_atom": -0.10,
  "energy_ev_per_cell": -28.6,
  "volume_a3_per_atom": 25.166,
  "sg": "Imm2",
  "cell": [[3.3859, 0.0000, 0.0000], [0.0000, 10.5764, 0.0000], [0.0000, 0.0000, 5.6222]],
  "species": ["Li", "Li", "Sn", "Sn", "Sn", "Sn", "Sn", "Sn"],
  "fractional_positions": [[0.0000, 0.0000, 0.0000], [0.5000, 0.5000, 0.5000], [0.0000, 0.2569, 0.6680], [0.0000, 0.5000, 0.0146], [0.0000, 0.7431, 0.6680], [0.5000, 0.0000, 0.5146], [0.5000, 0.2431, 0.1680], [0.5000, 0.7569, 0.1680]]
}

=====

{
  "formula": "Li13Sn5",
  "functional": "PBE-GGA",
  "state": "relaxed",
  "formation_energy_ev_per_atom": -0.39,
  "energy_ev_per_cell": -51.9,
  "volume_a3_per_atom": 18.021,
  "sg": "P-3m1",
  "cell": [[4.6869, 0.0000, 0.0000], [-2.3435, 4.0590, 0.0000], [0.0000, 0.0000, 17.0507]],
  "species": ["Li", "Li", "Li", "Li", "Li", "Li", "Li", "Li", "Li", "Li", "Li", "Li", "Li", "Sn", "Sn", "Sn", "Sn", "Sn"],
  "fractional_positions": [[0.0000, 0.0000, 0.0000], [0.0000, 0.0000, 0.1713], [0.0000, 0.0000, 0.3372], [0.0000, 0.0000, 0.6628], [0.0000, 0.0000, 0.8287], [0.3333, 0.6667, 0.4468], [0.3333, 0.6667, 0.6114], [0.3333, 0.6667, 0.7821], [0.3333, 0.6667, 0.9456], [0.6667, 0.3333, 0.0544], [0.6667, 0.3333, 0.2179], [0.6667, 0.3333, 0.3886], [0.6667, 0.3333, 0.5532], [0.0000, 0.0000, 0.5000], [0.3333, 0.6667, 0.1085], [0.3333, 0.6667, 0.2786], [0.6667, 0.3333, 0.7214], [0.6667, 0.3333, 0.8915]]
}

=====

{
  "formula": "LiSn2",
  "functional": "PBE-GGA",
  "state": "relaxed",
  "formation_energy_ev_per_atom": 0.03,
  "energy_ev_per_cell": -19.7,
  "volume_a3_per_atom": 28.438,
  "sg": "Fd-3m",
  "cell": [[0.0000, 4.4023, 4.4023], [4.4023, 0.0000, 4.4023], [4.4023, 4.4023, 0.0000]],
  "species": ["Li", "Li", "Sn", "Sn", "Sn", "Sn"],
  "fractional_positions": [[0.1250, 0.1250, 0.1250], [0.8750, 0.8750, 0.8750], [0.0000, 0.5000, 0.5000], [0.5000, 0.0000, 0.5000], [0.5000, 0.5000, 0.0000], [0.5000, 0.5000, 0.5000]]
}

=====

{
  "formula": "Li5Sn2",
  "functional": "PBE-GGA",
  "state": "relaxed",
  "formation_energy_ev_per_atom": -0.32,
  "energy_ev_per_cell": -39.6,
  "e_above_lowest_polymorph_mev_per_atom": 76,
  "volume_a3_per_atom": 18.825,
  "sg": "C2/c",
  "cell": [[6.6291, -2.5385, 0.0000], [6.6291, 2.5385, 0.0000], [-0.7870, 0.0000, 7.8305]],
  "species": ["Li", "Li", "Li", "Li", "Li", "Li", "Li", "Li", "Li", "Li", "Sn", "Sn", "Sn", "Sn"],
  "fractional_positions": [[0.0463, 0.6969, 0.0309], [0.1010, 0.4752, 0.6780], [0.1785, 0.8215, 0.7500], [0.3031, 0.9537, 0.4691], [0.4752, 0.1010, 0.1780], [0.5248, 0.8990, 0.8220], [0.6969, 0.0463, 0.5309], [0.8215, 0.1785, 0.2500], [0.8990, 0.5248, 0.3220], [0.9537, 0.3031, 0.9691], [0.2440, 0.5906, 0.3881], [0.4094, 0.7560, 0.1119], [0.5906, 0.2440, 0.8881], [0.7560, 0.4094, 0.6119]]
}

=====

{
  "formula": "Li6Sn",
  "functional": "PBE-GGA",
  "state": "relaxed",
  "formation_energy_ev_per_atom": 0.40,
  "energy_ev_per_cell": -25.4,
  "volume_a3_per_atom": 22.704,
  "sg": "Im-3m",
  "cell": [[6.8246, 0.0000, 0.0000], [0.0000, 6.8246, 0.0000], [0.0000, 0.0000, 6.8246]],
  "species": ["Li", "Li", "Li", "Li", "Li", "Li", "Li", "Li", "Li", "Li", "Li", "Li", "Sn", "Sn"],
  "fractional_positions": [[0.0000, 0.2500, 0.5000], [0.0000, 0.5000, 0.2500], [0.0000, 0.5000, 0.7500], [0.0000, 0.7500, 0.5000], [0.2500, 0.0000, 0.5000], [0.2500, 0.5000, 0.0000], [0.5000, 0.0000, 0.2500], [0.5000, 0.0000, 0.7500], [0.5000, 0.2500, 0.0000], [0.5000, 0.7500, 0.0000], [0.7500, 0.0000, 0.5000], [0.7500, 0.5000, 0.0000], [0.0000, 0.0000, 0.0000], [0.5000, 0.5000, 0.5000]]
}

=====

{
  "formula": "Li13Sn2",
  "functional": "PBE-GGA",
  "state": "relaxed",
  "formation_energy_ev_per_atom": 0.02,
  "energy_ev_per_cell": -32.6,
  "volume_a3_per_atom": 23.889,
  "sg": "R-3m",
  "cell": [[3.9489, 2.2799, 6.6337], [-3.9489, 2.2799, 6.6337], [0.0000, -4.5598, 6.6337]],
  "species": ["Li", "Li", "Li", "Li", "Li", "Li", "Li", "Li", "Li", "Li", "Li", "Li", "Li", "Sn", "Sn"],
  "fractional_positions": [[0.0000, 0.0000, 0.0000], [0.0085, 0.0085, 0.6459], [0.0085, 0.6459, 0.0085], [0.2309, 0.2309, 0.6051], [0.2309, 0.6051, 0.2309], [0.3541, 0.9915, 0.9915], [0.3949, 0.7691, 0.7691], [0.6051, 0.2309, 0.2309], [0.6459, 0.0085, 0.0085], [0.7691, 0.3949, 0.7691], [0.7691, 0.7691, 0.3949], [0.9915, 0.3541, 0.9915], [0.9915, 0.9915, 0.3541], [0.2402, 0.2402, 0.2402], [0.7598, 0.7598, 0.7598]]
}

=====

{
  "formula": "LiSn2",
  "functional": "PBE-GGA",
  "state": "relaxed",
  "formation_energy_ev_per_atom": -0.18,
  "energy_ev_per_cell": -41.8,
  "volume_a3_per_atom": 23.261,
  "sg": "I4_1/amd",
  "cell": [[3.2087, 0.0000, 0.0000], [0.0000, 3.2087, 0.0000], [0.0000, 0.0000, 27.1118]],
  "species": ["Li", "Li", "Li", "Li", "Sn", "Sn", "Sn", "Sn", "Sn", "Sn", "Sn", "Sn"],
  "fractional_positions": [[0.0000, 0.2500, 0.3750], [0.0000, 0.7500, 0.6250], [0.5000, 0.2500, 0.1250], [0.5000, 0.7500, 0.8750], [0.0000, 0.2500, 0.8008], [0.0000, 0.2500, 0.9492], [0.0000, 0.7500, 0.0508], [0.0000, 0.7500, 0.1992], [0.5000, 0.2500, 0.5508], [0.5000, 0.2500, 0.6992], [0.5000, 0.7500, 0.3008], [0.5000, 0.7500, 0.4492]]
}